Entry from the Alexandria database: CdAg3Au6 after structural relaxation (PBE).

Geometry as POSCAR:
```
CdAg3Au6
1.0
9.4232 0.0000 0.0000
0.0000 4.0532 0.0000
-0.0227 0.0000 9.5327
Cd Ag Au
2 6 12
Cartesian
1.0074 1.0133 4.2415
8.3931 3.0399 5.2912
0.9222 3.0399 9.0535
2.8013 1.0133 8.0993
4.6658 3.0399 7.1702
4.7347 1.0133 2.3625
6.5992 3.0399 1.4334
8.4783 1.0133 0.4791
-0.0140 1.0133 7.1629
9.4145 3.0399 2.3698
1.8628 3.0399 6.1938
1.8891 1.0133 1.3851
2.8678 3.0399 3.2922
3.7772 3.0399 0.4629
3.7719 1.0133 5.2524
5.6286 3.0399 4.2803
5.6233 1.0133 9.0698
6.5327 1.0133 6.2405
7.5114 3.0399 8.1476
7.5377 1.0133 3.3388
```

Calculated values
Total moment = 0.0 Bohr magnetons per cell
Space-group type = No. 11
VASP energy = -2.982 eV per atom
Distance to the lowest polymorph of the same formula = 0 meV/atom
ΔH_f (0 K) = -66.0 kJ/mol of formula units